[1]
Crystalline LaScRe2 at its relaxed geometry. Source: Alexandria, functional GGA-PBE.

abc: 5.947 5.947 5.026
angles: 64.97 64.97 31.89
Element x y z (fractional)
Re1 0.966 0.966 0.033
Sc1 0.517 0.517 0.483
La1 0.733 0.733 0.767
Re2 0.283 0.283 0.217

## Properties
* symmetry: Imm2 (44)
* E: -35.118 eV/cell


[2]
Crystalline LaYSc2Re at its relaxed geometry. Source: Alexandria, functional GGA-PBE.

abc: 5.222 5.416 5.222
angles: 90.00 90.00 90.00
Element x y z (fractional)
Sc1 0.500 0.000 0.000
La1 0.000 0.500 0.000
Sc2 0.000 0.000 0.500
Re1 0.000 0.000 0.000
Y1 0.500 0.500 0.500

## Properties
* symmetry: P4/mmm (123)
* E: -35.332 eV/cell


[3]
Crystalline LaScZnRe2 at its relaxed geometry. Source: Alexandria, functional GGA-PBE.

abc: 4.755 5.009 4.755
angles: 90.00 90.00 90.00
Element x y z (fractional)
Re1 0.500 0.000 0.000
Sc1 0.000 0.000 0.000
Zn1 0.000 0.500 0.000
La1 0.500 0.500 0.500
Re2 0.000 0.000 0.500

## Properties
* symmetry: P4/mmm (123)
* E: -31.530 eV/cell


[4]
Crystalline LaReSe3 at its relaxed geometry. Source: Alexandria, functional GGA-PBE.

abc: 4.971 4.971 4.971
angles: 90.00 90.00 90.00
Each line ends with the local moment (μB).
Element x y z (fractional)
Se1 0.000 0.500 0.000  0.03
Se2 0.000 0.000 0.500  0.01
La1 0.500 0.500 0.500  0.13
Se3 0.500 0.000 0.000  0.12
Re1 0.000 0.000 0.000  1.58

## Properties
* symmetry: Pm-3m (221)
* ΔE_f (raw): -462.9 meV per atom


[5]
Crystalline LaReSe3 at its relaxed geometry. Source: Alexandria, functional GGA-PBE.

abc: 5.730 5.730 5.730
angles: 90.00 90.00 90.00
Each line ends with the local moment (μB).
Element x y z (fractional)
La1 0.000 0.000 0.000  0.00
Se1 0.500 0.000 0.000  -0.18
Re1 0.500 0.500 0.500  4.33
Se2 0.000 0.000 0.500  -0.28
Se3 0.000 0.500 0.000  -0.24

## Properties
* symmetry: Pm-3m (221)
* ΔE_f (raw): 829.6 meV per atom


[6]
Crystalline LaReSe at its relaxed geometry. Source: Alexandria, functional GGA-PBE.

abc: 5.036 5.036 5.036
angles: 60.00 60.00 60.00
Each line ends with the local moment (μB).
Element x y z (fractional)
Re1 0.000 0.000 0.000  2.97
La1 0.750 0.750 0.750  0.12
Se1 0.500 0.500 0.500  0.22

## Properties
* symmetry: F-43m (216)
* ΔE_f (raw): 910.5 meV per atom


[7]
Crystalline LaReSe2 at its relaxed geometry. Source: Alexandria, functional GGA-PBE.

abc: 3.329 3.329 8.560
angles: 90.00 90.00 90.03
Element x y z (fractional)
Se1 0.500 0.500 0.287
La1 0.000 0.000 0.513
Se2 0.000 0.000 0.913
Re1 0.500 0.500 0.787

## Properties
* symmetry: P4mm (99)
* ΔE_f (raw): -306.5 meV per atom


[8]
Crystalline LaReSe2 at its relaxed geometry. Source: Alexandria, functional GGA-PBE.

abc: 3.575 3.575 7.019
angles: 90.00 90.00 108.38
Element x y z (fractional)
Se1 0.000 0.000 0.964
Se2 0.000 0.000 0.536
Re1 0.500 0.500 0.750
La1 0.500 0.500 0.250

## Properties
* symmetry: Cmmm (65)
* ΔE_f (raw): -186.6 meV per atom